No. 1
The following is a DFT calculation (PBE) of crystalline CuCO4 at its relaxed geometry. Values from VASP.

Cell and atoms, written as Quantum ESPRESSO input:
```
&SYSTEM
  ibrav = 0, nat = 12, ntyp = 3
/
ATOMIC_SPECIES
Cu 63.55 Cu.upf
C 12.01 C.upf
O 16.00 O.upf
ATOMIC_POSITIONS crystal
Cu 0.0000 0.0000 0.0000
Cu 0.0000 0.0000 0.5000
C 0.3498 0.6502 0.7500
C 0.6502 0.3498 0.2500
O 0.7423 0.2577 0.0611
O 0.2577 0.7423 0.5611
O 0.2577 0.7423 0.9389
O 0.7423 0.2577 0.4389
O 0.3025 0.2276 0.2500
O 0.6975 0.7724 0.7500
O 0.2276 0.3025 0.7500
O 0.7724 0.6975 0.2500
CELL_PARAMETERS angstrom
4.4185 -0.0391 0.0000
-1.6945 4.0808 0.0000
0.0000 0.0000 6.2655
```

Calculated values
Total moment: 3.4 Bohr magnetons per cell
Calculated density: 4118 kg/m3
Space group: Cmcm (63)
Energy: -5.99 eV/atom
D(E_F): 3.92 states/eV/f.u.
Calculated volume: 9.4 A^3/atom

No. 2
The following is a DFT calculation (PBE) of crystalline MgCu3Te at its relaxed geometry. Values from VASP.

Cell and atoms, written as Quantum ESPRESSO input:
```
&SYSTEM
  ibrav = 0, nat = 5, ntyp = 3
/
ATOMIC_SPECIES
Mg 24.30 Mg.upf
Te 127.60 Te.upf
Cu 63.55 Cu.upf
ATOMIC_POSITIONS crystal
Mg 0.5000 0.5000 0.5000
Te 0.0000 0.0000 0.0000
Cu 0.0000 0.5000 0.0000
Cu 0.0000 0.0000 0.5000
Cu 0.5000 0.0000 0.0000
CELL_PARAMETERS angstrom
-4.5650 -1.7801 0.4784
1.3031 -2.2131 4.2001
-1.3036 4.0212 2.5234
```

Calculated values
Total moment: 0.0 Bohr magnetons per cell
Calculated density: 4767 kg/m3
Space group: Pm-3m (221)
D(E_F): 4.27 states/eV/f.u.
Calculated volume: 23.9 A^3/atom
Energy relative to the lowest polymorph listed for this composition: 0 meV per atom

No. 3
The following is a DFT calculation (PBE) of crystalline SrAgB2 at its relaxed geometry. Values from VASP.

Cell and atoms, written as Quantum ESPRESSO input:
```
&SYSTEM
  ibrav = 0, nat = 8, ntyp = 3
/
ATOMIC_SPECIES
Sr 87.62 Sr.upf
B 10.81 B.upf
Ag 107.87 Ag.upf
ATOMIC_POSITIONS crystal
Sr 0.5000 0.5000 0.0000
Sr 0.2500 0.7500 0.5000
B 0.8752 0.1250 0.2500
B 0.8748 0.6250 0.2500
B 0.3750 0.1248 0.7500
B 0.8750 0.1252 0.7500
Ag 0.0000 0.0000 0.0000
Ag 0.7500 0.2500 0.5000
CELL_PARAMETERS angstrom
4.2792 0.0000 0.0000
0.0000 4.2792 0.0000
2.1396 2.1396 7.7251
```

Calculated values
Total moment: 0.0 Bohr magnetons per cell
Calculated density: 5097 kg/m3
Space group: I4_1/amd (141)
Formation enthalpy at 0 K: 0.6568 eV/atom
D(E_F): 2.69 states/eV/f.u.
Calculated volume: 17.7 A^3/atom
Energy relative to the lowest polymorph listed for this composition: 0 meV per atom

No. 4
The following is a DFT calculation (PBE) of crystalline LiSn3Pd3 at its relaxed geometry. Values from VASP.

Cell and atoms, written as Quantum ESPRESSO input:
```
&SYSTEM
  ibrav = 0, nat = 14, ntyp = 3
/
ATOMIC_SPECIES
Li 6.94 Li.upf
Sn 118.71 Sn.upf
Pd 106.42 Pd.upf
ATOMIC_POSITIONS crystal
Li 0.3330 0.3330 0.0010
Li 0.6670 0.6670 0.9990
Sn 0.4403 0.7807 0.6665
Sn 0.7807 0.1125 0.6665
Sn 0.1125 0.4403 0.6665
Sn 0.8875 0.5597 0.3335
Sn 0.2193 0.8875 0.3335
Sn 0.5597 0.2193 0.3335
Pd 0.2795 0.6115 0.1629
Pd 0.9462 0.2795 0.1629
Pd 0.6115 0.9462 0.1629
Pd 0.3885 0.0538 0.8371
Pd 0.0538 0.7205 0.8371
Pd 0.7205 0.3885 0.8371
CELL_PARAMETERS angstrom
-5.5618 1.0016 5.3739
-2.7900 -6.1402 3.9153
1.0243 -1.0132 6.9073
```

Calculated values
Total moment: 0.0 Bohr magnetons per cell
Calculated density: 7920 kg/m3
Space group: R-3 (148)
Formation enthalpy at 0 K: -0.5001 eV/atom
D(E_F): 2.16 states/eV/f.u.
Calculated volume: 20.4 A^3/atom
Energy relative to the lowest polymorph listed for this composition: 0 meV per atom

No. 5
The following is a DFT calculation (PBE) of crystalline IrSeF2 at its relaxed geometry. Values from VASP.

Cell and atoms, written as Quantum ESPRESSO input:
```
&SYSTEM
  ibrav = 0, nat = 4, ntyp = 3
/
ATOMIC_SPECIES
Ir 192.22 Ir.upf
Se 78.96 Se.upf
F 19.00 F.upf
ATOMIC_POSITIONS crystal
Ir 0.5000 0.5000 0.5000
Se 0.0000 0.0000 0.0000
F 0.9324 0.9324 0.9324
F 0.0676 0.0676 0.0676
CELL_PARAMETERS angstrom
1.5967 0.0000 9.2534
-0.7983 1.3827 9.2534
-0.7983 -1.3827 9.2534
```

Calculated values
Total moment: 1.6 Bohr magnetons per cell
Calculated density: 8377 kg/m3
Space group: R-3m (166)
D(E_F): 1.84 states/eV/f.u.
Calculated volume: 15.3 A^3/atom
Energy relative to the lowest polymorph listed for this composition: 339 meV per atom

No. 6
The following is a DFT calculation (PBE) of crystalline AlSbI2N at its relaxed geometry. Values from VASP.

Cell and atoms, written as Quantum ESPRESSO input:
```
&SYSTEM
  ibrav = 0, nat = 5, ntyp = 4
/
ATOMIC_SPECIES
I 126.90 I.upf
Sb 121.76 Sb.upf
Al 26.98 Al.upf
N 14.01 N.upf
ATOMIC_POSITIONS crystal
I 0.0000 0.5000 0.0000
I 0.5000 0.0000 0.0000
Sb 0.0000 0.0000 0.5000
Al 0.0000 0.0000 0.0000
N 0.5000 0.5000 0.5000
CELL_PARAMETERS angstrom
5.6484 0.0000 0.0000
0.0000 5.6484 0.0000
0.0000 0.0000 5.4889
```

Calculated values
Total moment: 1.4 Bohr magnetons per cell
Calculated density: 3950 kg/m3
Space group: P4/mmm (123)
D(E_F): 2.06 states/eV/f.u.
Calculated volume: 35.0 A^3/atom
Energy relative to the lowest polymorph listed for this composition: 846 meV per atom

No. 7
The following is a DFT calculation (PBE) of crystalline CsBaZrTa2 at its relaxed geometry. Values from VASP.

Cell and atoms, written as Quantum ESPRESSO input:
```
&SYSTEM
  ibrav = 0, nat = 5, ntyp = 4
/
ATOMIC_SPECIES
Cs 132.91 Cs.upf
Ba 137.33 Ba.upf
Zr 91.22 Zr.upf
Ta 180.95 Ta.upf
ATOMIC_POSITIONS crystal
Cs 0.0000 0.0000 0.0000
Ba 0.5000 0.5000 0.5000
Zr 0.0000 0.5000 0.0000
Ta 0.0000 0.0000 0.5000
Ta 0.5000 0.0000 0.0000
CELL_PARAMETERS angstrom
5.3075 0.0000 0.0000
0.0000 5.3860 0.0000
0.0000 0.0000 5.3075
```

Calculated values
Total moment: 1.1 Bohr magnetons per cell
Calculated density: 7917 kg/m3
Space group: P4/mmm (123)
Formation enthalpy at 0 K: 2.4135 eV/atom
D(E_F): 7.72 states/eV/f.u.
Calculated volume: 30.3 A^3/atom

No. 8
The following is a DFT calculation (PBE) of crystalline DyPaFeNi at its relaxed geometry. Values from VASP.

Cell and atoms, written as Quantum ESPRESSO input:
```
&SYSTEM
  ibrav = 0, nat = 4, ntyp = 4
/
ATOMIC_SPECIES
Ni 58.69 Ni.upf
Pa 231.04 Pa.upf
Fe 55.84 Fe.upf
Dy 162.50 Dy.upf
ATOMIC_POSITIONS crystal
Ni 0.5000 0.5000 0.5000
Pa 0.7500 0.7500 0.7500
Fe 0.0000 0.0000 0.0000
Dy 0.2500 0.2500 0.2500
CELL_PARAMETERS angstrom
-0.6143 4.6674 0.4367
-2.5833 2.3525 -3.1850
-4.2352 1.7249 1.2001
```

Calculated values
Total moment: 0.5 Bohr magnetons per cell
Calculated density: 11290 kg/m3
Space group: F-43m (216)
Formation enthalpy at 0 K: -0.0639 eV/atom
D(E_F): 5.76 states/eV/f.u.
Calculated volume: 18.7 A^3/atom